A plane-wave DFT calculation with PBE-GGA was carried out for Bi2Pd3Se2 after structural relaxation.

Cell and atoms, written as POSCAR:
```
Bi2Pd3Se2
1.0
6.9973 -0.0001 -2.4740
-3.4988 6.0604 -2.4744
0.0002 -0.0001 7.4226
Bi Pd Se
4 6 4
Direct
0.0000 0.0000 0.4736
0.5000 0.4736 0.5000
0.5264 0.0264 0.0264
0.9736 0.5000 0.0000
0.7192 0.7500 0.9692
0.7808 0.2500 0.5308
0.0308 0.2808 0.2500
0.4692 0.2192 0.7500
0.2500 0.9692 0.2192
0.7500 0.5308 0.2808
0.0000 0.0000 0.9280
0.5000 0.9280 0.5000
0.0720 0.5720 0.5720
0.4280 0.5000 0.0000
```

Results
- Symmetry: I2_13
- DOS at the Fermi energy: 1.56 states/eV/f.u.
- Magnetization: 0.0 μB/f.u.
- DFT total energy: -4.6945 eV/atom
- Formation energy without anion corrections: -365 meV/atom